DFT (PBE) results for crystalline Y4TaNi at its relaxed geometry.

a = 6.0591 Å, b = 6.0591 Å, c = 6.0591 Å
α = 60.00°, β = 60.00°, γ = 60.00°
Element x y z (fractional)
Y (0.3745, 0.8764, 0.3745)
Y (0.8764, 0.3745, 0.3745)
Y (0.3745, 0.3745, 0.8764)
Y (0.3745, 0.3745, 0.3745)
Ta (0.0000, 0.0000, 0.0000)
Ni (0.7500, 0.7500, 0.7500)

calculated total energy = -6.253 eV/atom
E_form = 0.996 eV/atom
Fermi-level density of states = 1.45 states/eV per atom
crystal system = cubic